[1]
## PmNd3Sm6 (PBE)

Data for a geometry-optimized PmNd3Sm6 structure.

Calculated total energy, eV/f.u.: -45.98
ΔE_f, kJ/mol of formula units: 134

abc: 11.122 11.122 6.471
angles: 90.00 90.00 120.51
Fractional coordinates of all 20 atoms:
Pm: 0.191 0.809 0.500
Pm: 0.809 0.191 0.000
Nd: 0.060 0.293 0.347
Nd: 0.293 0.060 0.847
Nd: 0.385 0.615 0.467
Nd: 0.615 0.385 0.967
Nd: 0.707 0.940 0.347
Nd: 0.940 0.707 0.847
Sm: 0.035 0.965 0.244
Sm: 0.056 0.473 0.759
Sm: 0.277 0.723 0.035
Sm: 0.288 0.372 0.941
Sm: 0.372 0.288 0.441
Sm: 0.473 0.056 0.259
Sm: 0.527 0.944 0.759
Sm: 0.628 0.712 0.941
Sm: 0.712 0.628 0.441
Sm: 0.723 0.277 0.535
Sm: 0.944 0.527 0.259
Sm: 0.965 0.035 0.744

[2]
## YZn2Hg (PBE)

Data for a geometry-optimized YZn2Hg structure.

Calculated total energy, eV/f.u.: -10.53
ΔE_f, kJ/mol of formula units: -118

abc: 10.362 10.362 4.513
angles: 90.00 90.00 159.81
Fractional coordinates of all 8 atoms:
Y: 0.096 0.904 0.750
Y: 0.904 0.096 0.250
Zn: 0.264 0.736 0.250
Zn: 0.473 0.527 0.750
Zn: 0.527 0.473 0.250
Zn: 0.736 0.264 0.750
Hg: 0.340 0.660 0.750
Hg: 0.660 0.340 0.250

[3]
## TaCrIr2 (PBE)

Data for a geometry-optimized TaCrIr2 structure.

Calculated total energy, eV/f.u.: -40.57
ΔE_f, kJ/mol of formula units: -133

abc: 4.704 4.704 2.804
angles: 90.00 90.00 107.26
Fractional coordinates of all 4 atoms:
Ta: 0.000 0.000 0.000
Cr: 0.500 0.500 0.000
Ir: 0.000 0.500 0.500
Ir: 0.500 0.000 0.500

[4]
## ZnCd2Os (PBE)

Data for a geometry-optimized ZnCd2Os structure.

Calculated total energy, eV/f.u.: -12.32
ΔE_f, kJ/mol of formula units: 195

abc: 2.881 2.881 8.552
angles: 90.00 90.00 90.00
Fractional coordinates of all 4 atoms:
Zn: 0.000 0.000 0.000
Cd: 0.500 0.500 0.258
Cd: 0.500 0.500 0.742
Os: 0.000 0.000 0.500

[5]
## ErAgSe (PBE)

Data for a geometry-optimized ErAgSe structure.

Formation energy from raw total energies, eV per atom: -0.959
Calculated total energy, eV/f.u.: -13.77

abc: 8.371 8.371 8.371
angles: 32.34 32.34 32.34
Fractional coordinates of all 6 atoms:
Er: 0.084 0.084 0.084
Er: 0.916 0.916 0.916
Ag: 0.333 0.333 0.333
Ag: 0.667 0.667 0.667
Se: 0.211 0.211 0.211
Se: 0.789 0.789 0.789

[6]
## PrDy3HoTm (PBE)

Data for a geometry-optimized PrDy3HoTm structure.

Calculated total energy, eV/f.u.: -26.40
ΔE_f, kJ/mol of formula units: 119

abc: 11.470 11.470 6.786
angles: 97.95 97.95 27.16
Fractional coordinates of all 12 atoms:
Pr: 0.130 0.130 0.478
Pr: 0.870 0.870 0.522
Dy: 0.024 0.024 0.776
Dy: 0.274 0.274 0.687
Dy: 0.328 0.328 0.222
Dy: 0.672 0.672 0.778
Dy: 0.726 0.726 0.313
Dy: 0.976 0.976 0.224
Ho: 0.167 0.167 0.031
Ho: 0.833 0.833 0.969
Tm: 0.427 0.427 0.852
Tm: 0.573 0.573 0.148

[7]
## KSnS3 (PBE)

Data for a geometry-optimized KSnS3 structure.

Formation energy from raw total energies, eV per atom: 0.876
Calculated total energy, eV/f.u.: -13.10

abc: 5.404 5.404 5.404
angles: 90.00 90.00 90.00
Fractional coordinates of all 5 atoms:
K: 0.000 0.000 0.000
Sn: 0.500 0.500 0.500
S: 0.000 0.000 0.500
S: 0.000 0.500 0.000
S: 0.500 0.000 0.000

[8]
## VHgH (PBE)

Data for a geometry-optimized VHgH structure.

Calculated total energy, eV/f.u.: -12.58

abc: 3.032 3.038 9.401
angles: 86.31 86.38 65.83
Fractional coordinates of all 6 atoms:
V: 0.000 0.000 0.000
V: 0.473 0.473 0.196
Hg: 0.347 0.348 0.742
Hg: 0.743 0.720 0.456
H: 0.362 0.362 0.018
H: 0.840 0.840 0.180

[9]
## Li3ZnPd12 (PBE)

Data for a geometry-optimized Li3ZnPd12 structure.

Calculated total energy, eV/f.u.: -73.56
ΔE_f, kJ/mol of formula units: -408

abc: 3.914 3.914 15.429
angles: 90.00 90.00 90.00
Fractional coordinates of all 16 atoms:
Li: 0.000 0.000 0.000
Li: 0.000 0.000 0.249
Li: 0.000 0.000 0.751
Zn: 0.000 0.000 0.500
Pd: 0.000 0.500 0.124
Pd: 0.000 0.500 0.374
Pd: 0.000 0.500 0.626
Pd: 0.000 0.500 0.876
Pd: 0.500 0.000 0.124
Pd: 0.500 0.000 0.374
Pd: 0.500 0.000 0.626
Pd: 0.500 0.000 0.876
Pd: 0.500 0.500 0.000
Pd: 0.500 0.500 0.249
Pd: 0.500 0.500 0.500
Pd: 0.500 0.500 0.751

[10]
## Li5Pa3N12 (PBE)

Data for a geometry-optimized Li5Pa3N12 structure.

Formation energy from raw total energies, eV per atom: -0.386
Calculated total energy, eV/f.u.: -145.69

abc: 11.725 11.725 11.725
angles: 109.47 109.47 109.47
Fractional coordinates of all 80 atoms:
Li: 0.000 0.000 0.000
Li: 0.000 0.000 0.500
Li: 0.000 0.500 0.000
Li: 0.000 0.500 0.500
Li: 0.125 0.750 0.875
Li: 0.125 0.875 0.250
Li: 0.250 0.125 0.875
Li: 0.250 0.625 0.375
Li: 0.375 0.250 0.625
Li: 0.375 0.625 0.750
Li: 0.500 0.000 0.000
Li: 0.500 0.000 0.500
Li: 0.500 0.500 0.000
Li: 0.500 0.500 0.500
Li: 0.625 0.375 0.250
Li: 0.625 0.750 0.375
Li: 0.750 0.375 0.625
Li: 0.750 0.875 0.125
Li: 0.875 0.125 0.750
Li: 0.875 0.250 0.125
Pa: 0.125 0.250 0.375
Pa: 0.125 0.375 0.750
Pa: 0.250 0.375 0.125
Pa: 0.250 0.875 0.625
Pa: 0.375 0.125 0.250
Pa: 0.375 0.750 0.125
Pa: 0.625 0.250 0.875
Pa: 0.625 0.875 0.750
Pa: 0.750 0.125 0.375
Pa: 0.750 0.625 0.875
Pa: 0.875 0.625 0.250
Pa: 0.875 0.750 0.625
N: 0.088 0.292 0.188
N: 0.088 0.296 0.900
N: 0.100 0.688 0.396
N: 0.100 0.912 0.704
N: 0.104 0.792 0.704
N: 0.104 0.812 0.400
N: 0.188 0.088 0.292
N: 0.188 0.600 0.896
N: 0.204 0.292 0.604
N: 0.204 0.412 0.600
N: 0.208 0.296 0.896
N: 0.208 0.412 0.312
N: 0.292 0.188 0.088
N: 0.292 0.604 0.204
N: 0.296 0.896 0.208
N: 0.296 0.900 0.088
N: 0.312 0.208 0.412
N: 0.312 0.604 0.900
N: 0.396 0.100 0.688
N: 0.396 0.796 0.708
N: 0.400 0.104 0.812
N: 0.400 0.796 0.588
N: 0.412 0.312 0.208
N: 0.412 0.600 0.204
N: 0.588 0.400 0.796
N: 0.588 0.688 0.792
N: 0.600 0.204 0.412
N: 0.600 0.896 0.188
N: 0.604 0.204 0.292
N: 0.604 0.900 0.312
N: 0.688 0.396 0.100
N: 0.688 0.792 0.588
N: 0.704 0.100 0.912
N: 0.704 0.104 0.792
N: 0.708 0.396 0.796
N: 0.708 0.812 0.912
N: 0.792 0.588 0.688
N: 0.792 0.704 0.104
N: 0.796 0.588 0.400
N: 0.796 0.708 0.396
N: 0.812 0.400 0.104
N: 0.812 0.912 0.708
N: 0.896 0.188 0.600
N: 0.896 0.208 0.296
N: 0.900 0.088 0.296
N: 0.900 0.312 0.604
N: 0.912 0.704 0.100
N: 0.912 0.708 0.812

[11]
## Rb2AlCo (PBE)

Data for a geometry-optimized Rb2AlCo structure.

Calculated total energy, eV/f.u.: -10.40
ΔE_f, kJ/mol of formula units: 230

abc: 9.497 9.497 9.497
angles: 93.42 93.42 151.72
Fractional coordinates of all 8 atoms:
Rb: 0.375 0.176 0.301
Rb: 0.824 0.125 0.199
Rb: 0.875 0.074 0.699
Rb: 0.926 0.625 0.801
Al: 0.250 0.750 0.500
Al: 0.500 0.500 0.000
Co: 0.000 0.000 0.000
Co: 0.750 0.250 0.500

[12]
## Pm12Ge3C5 (PBE)

Data for a geometry-optimized Pm12Ge3C5 structure.

Calculated total energy, eV/f.u.: -122.06
ΔE_f, kJ/mol of formula units: -490

abc: 13.891 13.891 13.891
angles: 109.47 109.47 109.47
Fractional coordinates of all 80 atoms:
Pm: 0.026 0.206 0.120
Pm: 0.026 0.320 0.906
Pm: 0.086 0.706 0.680
Pm: 0.086 0.880 0.406
Pm: 0.094 0.620 0.414
Pm: 0.094 0.974 0.680
Pm: 0.120 0.026 0.206
Pm: 0.120 0.594 0.914
Pm: 0.180 0.206 0.586
Pm: 0.180 0.474 0.594
Pm: 0.206 0.120 0.026
Pm: 0.206 0.586 0.180
Pm: 0.294 0.320 0.914
Pm: 0.294 0.474 0.380
Pm: 0.320 0.906 0.026
Pm: 0.320 0.914 0.294
Pm: 0.380 0.294 0.474
Pm: 0.380 0.586 0.906
Pm: 0.406 0.086 0.880
Pm: 0.406 0.820 0.526
Pm: 0.414 0.094 0.620
Pm: 0.414 0.820 0.794
Pm: 0.474 0.380 0.294
Pm: 0.474 0.594 0.180
Pm: 0.526 0.406 0.820
Pm: 0.526 0.620 0.706
Pm: 0.586 0.180 0.206
Pm: 0.586 0.906 0.380
Pm: 0.594 0.180 0.474
Pm: 0.594 0.914 0.120
Pm: 0.620 0.414 0.094
Pm: 0.620 0.706 0.526
Pm: 0.680 0.086 0.706
Pm: 0.680 0.094 0.974
Pm: 0.706 0.526 0.620
Pm: 0.706 0.680 0.086
Pm: 0.794 0.414 0.820
Pm: 0.794 0.880 0.974
Pm: 0.820 0.526 0.406
Pm: 0.820 0.794 0.414
Pm: 0.880 0.406 0.086
Pm: 0.880 0.974 0.794
Pm: 0.906 0.026 0.320
Pm: 0.906 0.380 0.586
Pm: 0.914 0.120 0.594
Pm: 0.914 0.294 0.320
Pm: 0.974 0.680 0.094
Pm: 0.974 0.794 0.880
Ge: 0.125 0.250 0.375
Ge: 0.125 0.375 0.750
Ge: 0.250 0.375 0.125
Ge: 0.250 0.875 0.625
Ge: 0.375 0.125 0.250
Ge: 0.375 0.750 0.125
Ge: 0.625 0.250 0.875
Ge: 0.625 0.875 0.750
Ge: 0.750 0.125 0.375
Ge: 0.750 0.625 0.875
Ge: 0.875 0.625 0.250
Ge: 0.875 0.750 0.625
C: 0.000 0.000 0.000
C: 0.000 0.000 0.500
C: 0.000 0.500 0.000
C: 0.000 0.500 0.500
C: 0.125 0.750 0.875
C: 0.125 0.875 0.250
C: 0.250 0.125 0.875
C: 0.250 0.625 0.375
C: 0.375 0.250 0.625
C: 0.375 0.625 0.750
C: 0.500 0.000 0.000
C: 0.500 0.000 0.500
C: 0.500 0.500 0.000
C: 0.500 0.500 0.500
C: 0.625 0.375 0.250
C: 0.625 0.750 0.375
C: 0.750 0.375 0.625
C: 0.750 0.875 0.125
C: 0.875 0.125 0.750
C: 0.875 0.250 0.125

[13]
## YRhN2O (PBE)

Data for a geometry-optimized YRhN2O structure.

Formation energy from raw total energies, eV per atom: 1.060
Calculated total energy, eV/f.u.: -30.13

abc: 4.425 4.425 4.242
angles: 90.00 90.00 90.00
Fractional coordinates of all 5 atoms:
Y: 0.000 0.000 0.000
Rh: 0.500 0.500 0.500
N: 0.000 0.500 0.000
N: 0.500 0.000 0.000
O: 0.000 0.000 0.500

[14]
## ThNb4O12 (PBE)

Data for a geometry-optimized ThNb4O12 structure.

Formation energy from raw total energies, eV per atom: -2.732
Calculated total energy, eV/f.u.: -153.64

abc: 5.616 7.864 5.634
angles: 90.00 90.00 90.00
Fractional coordinates of all 17 atoms:
Th: 0.000 0.000 0.000
Nb: 0.000 0.255 0.504
Nb: 0.000 0.745 0.504
Nb: 0.500 0.260 0.002
Nb: 0.500 0.740 0.002
O: 0.000 0.000 0.401
O: 0.000 0.500 0.531
O: 0.234 0.198 0.741
O: 0.234 0.802 0.741
O: 0.237 0.259 0.216
O: 0.237 0.741 0.216
O: 0.500 0.000 0.026
O: 0.500 0.500 0.912
O: 0.763 0.259 0.216
O: 0.763 0.741 0.216
O: 0.766 0.198 0.741
O: 0.766 0.802 0.741

[15]
## NaTb3Rh8 (PBE)

Data for a geometry-optimized NaTb3Rh8 structure.

Calculated total energy, eV/f.u.: -80.71
ΔE_f, kJ/mol of formula units: -645

abc: 9.254 9.254 9.254
angles: 33.38 33.38 33.38
Fractional coordinates of all 12 atoms:
Na: 0.000 0.000 0.000
Tb: 0.121 0.121 0.121
Tb: 0.503 0.503 0.503
Tb: 0.632 0.632 0.632
Rh: 0.064 0.064 0.563
Rh: 0.064 0.563 0.064
Rh: 0.067 0.564 0.564
Rh: 0.314 0.314 0.314
Rh: 0.563 0.064 0.064
Rh: 0.564 0.067 0.564
Rh: 0.564 0.564 0.067
Rh: 0.814 0.814 0.814

[16]
## Be2InP (PBE)

Data for a geometry-optimized Be2InP structure.

Calculated total energy, eV/f.u.: -15.02
ΔE_f, kJ/mol of formula units: 56

abc: 6.449 6.449 6.449
angles: 30.79 30.79 30.79
Fractional coordinates of all 4 atoms:
Be: 0.218 0.218 0.218
Be: 0.782 0.782 0.782
In: 0.000 0.000 0.000
P: 0.500 0.500 0.500

[17]
## IrF4 (PBE)

Data for a geometry-optimized IrF4 structure.

Formation energy from raw total energies, eV per atom: -0.789
Calculated total energy, eV/f.u.: -20.29

abc: 3.985 3.985 3.985
angles: 90.00 90.00 90.00
Fractional coordinates of all 5 atoms:
Ir: 0.000 0.000 0.000
F: 0.000 0.000 0.500
F: 0.000 0.500 0.000
F: 0.500 0.000 0.000
F: 0.500 0.500 0.500